A geometry-optimized Li3YCo structure, computed with PBEsol.

## Properties
The calculation puts the raw total energy at -3.5824 eV/atom. The total moment comes out at 0.00 Bohr magnetons per cell. The calculation puts the volume at 17.99 Å³ per atom.

abc: 4.481 4.481 4.481
angles: 90.00 90.00 90.00
Element x y z (fractional)
Li (0.000, 0.000, 0.500)
Li (0.000, 0.500, 0.000)
Li (0.500, 0.000, 0.000)
Y (0.500, 0.500, 0.500)
Co (0.000, 0.000, 0.000)